Entry from Alexandria via LeMat-Bulk: a relaxed structure of CdTc3Ge (GGA-PBE).

## Properties
The calculation puts the energy of formation from the pure elements at 2446 meV per atom. The polymorph energy (0 for the lowest one) is 1.252 eV/atom. The density of states at the Fermi level is 1.088 states/eV per atom. For the magnetic moment, the calculation gives 7.24 Bohr magnetons per cell. As for the crystal system: cubic. The symmetry is Pm-3m (221).

Cell: 4.960 4.960 4.960 Å, 90.00 90.00 90.00°
Sites, in units of the cell vectors:
Cd: 0.000 0.000 0.000
Tc: 0.000 0.000 0.500
Tc: 0.000 0.500 0.000
Tc: 0.500 0.000 0.000
Ge: 0.500 0.500 0.500